The following is a DFT calculation (GGA-PBE) of an optimized crystal structure of RbPm2CuTe4.

Cell lengths 8.104, 8.104, 15.673 Å; angles 90.00, 90.00, 147.92 degrees
Fractional positions:
Rb 0.110 0.890 0.750
Rb 0.890 0.110 0.250
Pm 0.365 0.635 0.564
Pm 0.365 0.635 0.936
Pm 0.635 0.365 0.064
Pm 0.635 0.365 0.436
Cu 0.161 0.839 0.250
Cu 0.839 0.161 0.750
Te 0.000 0.000 0.000
Te 0.000 0.000 0.500
Te 0.265 0.735 0.115
Te 0.265 0.735 0.385
Te 0.432 0.568 0.750
Te 0.568 0.432 0.250
Te 0.735 0.265 0.615
Te 0.735 0.265 0.885

Computed properties:
M_tot (μB per formula unit): 0.00
Raw formation energy (meV per atom): -1168